Below is a geometry-optimized LiMg2 structure, with properties calculated at the PBE-GGA level.

The value obtained for the formation energy is -0.025 eV/atom. Its uncorrected energy is -1.726 eV/atom. The density of states at the Fermi level is 0.3 states/eV/f.u.

The structure belongs to space group Fd-3m (No. 227, origin choice 2); the cell edges are 12.6450, 12.6450 and 12.6450 Å and the angles 90.00°, 90.00° and 90.00°. The asymmetric unit holds Li at (0.0379, 0.0379, 0.2121), Mg at (0.0000, 0.0000, 0.0000) and Mg at (0.0615, 0.3750, 0.8750).

=====

Below is a geometry-optimized LiMg5 structure, with properties calculated at the PBE-GGA level.

The relative energy among the computed polymorphs is 6 meV/atom. The value obtained for the formation energy is -0.023 eV/atom. Its uncorrected energy is -1.671 eV/atom. The density of states at the Fermi level is 3.1 states/eV/f.u.

The structure belongs to space group P-62m (No. 189); the cell edges are 5.4716, 5.4716 and 5.1490 Å and the angles 90.00°, 90.00° and 120.00°. The asymmetric unit holds Li at (0.0000, 0.0000, 0.0000), Mg at (0.0000, 0.6699, 0.5000) and Mg at (0.3333, 0.6667, 0.0000).

=====

Below is a geometry-optimized Li4Mg structure, with properties calculated at the PBE-GGA level.

The relative energy among the computed polymorphs is 143 meV/atom. The value obtained for the formation energy is 0.120 eV/atom. Its uncorrected energy is -1.730 eV/atom. The density of states at the Fermi level is 1.2 states/eV/f.u.

The structure belongs to space group I4/mmm (No. 139); the cell edges are 4.3906, 4.3906 and 10.1911 Å and the angles 90.00°, 90.00° and 90.00°. The asymmetric unit holds Li at (0.0000, 0.0000, 0.1155), Li at (0.0000, 0.5000, 0.2500) and Mg at (0.0000, 0.0000, 0.5000).

=====

Below is a geometry-optimized Li24Mg5 structure, with properties calculated at the PBE-GGA level.

The value obtained for the formation energy is -0.003 eV/atom. Its uncorrected energy is -1.861 eV/atom. The density of states at the Fermi level is 19.7 states/eV/f.u.

The structure belongs to space group I-43m (No. 217); the cell edges are 10.4851, 10.4851 and 10.4851 Å and the angles 90.00°, 90.00° and 90.00°. The asymmetric unit holds Li at (0.0408, 0.3597, 0.6403), Li at (0.0919, 0.0919, 0.7181), Mg at (0.0000, 0.0000, 0.0000) and Mg at (0.1813, 0.1813, 0.1813).

=====

Question: The highest density of states at the Fermi level belongs to which entry?
Answer: Li24Mg5

=====

Question: Number 4 is which compound?
Answer: Li24Mg5

=====

Please write out number 1 again, unchanged.
Below is a geometry-optimized LiMg2 structure, with properties calculated at the PBE-GGA level.

The value obtained for the formation energy is -0.025 eV/atom. Its uncorrected energy is -1.726 eV/atom. The density of states at the Fermi level is 0.3 states/eV/f.u.

The structure belongs to space group Fd-3m (No. 227, origin choice 2); the cell edges are 12.6450, 12.6450 and 12.6450 Å and the angles 90.00°, 90.00° and 90.00°. The asymmetric unit holds Li at (0.0379, 0.0379, 0.2121), Mg at (0.0000, 0.0000, 0.0000) and Mg at (0.0615, 0.3750, 0.8750).

=====

Question: Number 3 is which compound?
Answer: Li4Mg